First-principles (PBE) data for an optimized crystal structure of BeZnPb2, as listed in Alexandria.

Calculated values
* size of the total moment: 0.000 Bohr magnetons per cell
* DFT total energy: -2.6421 eV/atom
* space group: No. 65
* E_form: 0.4621 eV per atom

abc: 3.384 3.384 8.309
angles: 90.00 90.00 103.83
Positions (direct):
Pb1 0.000 0.000 0.965
Pb2 0.000 0.000 0.535
Be1 0.500 0.500 0.750
Zn1 0.500 0.500 0.250

***

First-principles (PBE) data for an optimized crystal structure of Hf3TaGa6, as listed in Alexandria.

Calculated values
* size of the total moment: 0.000 Bohr magnetons per cell
* DFT total energy: -6.1029 eV/atom
* space group: No. 36
* E_form: -0.1155 eV per atom

abc: 6.631 7.626 7.626
angles: 91.03 90.00 90.00
Positions (direct):
Hf1 0.419 0.871 0.772
Hf2 0.919 0.772 0.871
Hf3 0.393 0.305 0.695
Hf4 0.893 0.695 0.305
Hf5 0.919 0.129 0.228
Hf6 0.419 0.228 0.129
Ta1 0.117 0.108 0.892
Ta2 0.617 0.892 0.108
Ga1 0.168 0.626 0.611
Ga2 0.668 0.611 0.626
Ga3 0.080 0.453 0.024
Ga4 0.580 0.024 0.453
Ga5 0.213 0.868 0.132
Ga6 0.928 0.334 0.666
Ga7 0.428 0.666 0.334
Ga8 0.713 0.132 0.868
Ga9 0.080 0.976 0.547
Ga10 0.580 0.547 0.976
Ga11 0.168 0.389 0.374
Ga12 0.668 0.374 0.389

***

First-principles (PBE) data for an optimized crystal structure of Pr3Ge2S, as listed in Alexandria.

Calculated values
* size of the total moment: 0.000 Bohr magnetons per cell
* DFT total energy: -5.8237 eV/atom
* space group: No. 71

abc: 4.216 6.032 7.428
angles: 113.95 106.49 90.00
Positions (direct):
Pr1 0.500 0.500 0.000
Pr2 0.160 0.160 0.321
Pr3 0.840 0.840 0.679
Ge1 0.166 0.666 0.331
Ge2 0.834 0.334 0.669
S1 0.500 0.000 0.000

***

Copy entry 3 word for word.
First-principles (PBE) data for an optimized crystal structure of Pr3Ge2S, as listed in Alexandria.

Calculated values
* size of the total moment: 0.000 Bohr magnetons per cell
* DFT total energy: -5.8237 eV/atom
* space group: No. 71

abc: 4.216 6.032 7.428
angles: 113.95 106.49 90.00
Positions (direct):
Pr1 0.500 0.500 0.000
Pr2 0.160 0.160 0.321
Pr3 0.840 0.840 0.679
Ge1 0.166 0.666 0.331
Ge2 0.834 0.334 0.669
S1 0.500 0.000 0.000

***

Question: Which formula does entry 2 have?
Answer: Hf3TaGa6